First-principles (PBE) data for Mg2InAgHg8 after structural relaxation, as listed in the Alexandria database.

## Properties
Density of states at the Fermi level, states/eV/cell: 4.9
ΔE_f, kcal/mol of atoms: 1.30

Lattice parameters (Å, degrees): 6.318 6.318 8.759 90.00 90.00 120.00
Element x y z (fractional)
Mg: 0.667 0.333 0.072
Mg: 0.333 0.667 0.928
In: 0.000 0.000 0.500
Ag: 0.000 0.000 0.000
Hg: 0.824 0.648 0.765
Hg: 0.352 0.176 0.765
Hg: 0.824 0.176 0.765
Hg: 0.176 0.352 0.235
Hg: 0.648 0.824 0.235
Hg: 0.176 0.824 0.235
Hg: 0.667 0.333 0.418
Hg: 0.333 0.667 0.582